Fe3Co2SbP6O24 | GGA+U | relaxed

extended XYZ file:
```
36
Lattice="8.472 0.012 0.009 4.129 7.398 0.009 4.129 2.428 6.988" Properties=species:S:1:pos:R:3 pbc="T T T"
Fe 5.995 3.525 2.510
Fe 2.386 1.403 0.999
Fe 10.716 6.302 4.487
Co 0.086 0.051 0.036
Co 8.360 4.916 3.501
Sb 14.355 8.441 6.011
P 8.371 1.432 3.169
P 5.321 5.160 5.219
P 7.096 5.632 0.317
P 9.548 4.227 6.709
P 11.390 4.590 1.800
P 8.336 8.397 3.748
O 12.360 5.351 4.808
O 10.684 7.226 6.176
O 11.509 7.741 3.483
O 9.052 1.067 1.821
O 9.451 1.603 4.297
O 7.798 2.874 3.075
O 5.332 4.139 6.389
O 6.303 4.678 4.113
O 8.117 3.794 6.933
O 7.152 4.945 1.710
O 10.535 2.943 6.609
O 10.756 3.305 1.317
O 5.996 6.508 5.663
O 6.209 6.904 0.412
O 9.578 4.879 5.292
O 8.602 6.030 0.109
O 10.421 5.163 2.879
O 11.420 5.702 0.620
O 8.919 6.963 3.938
O 7.261 8.269 2.692
O 7.693 8.788 5.186
O 5.228 2.094 3.546
O 6.068 2.607 0.819
O 4.371 4.512 2.195
```

Uncorrected energy = -241.77 eV/f.u.